1.
Material: DyLuTcHg
Method: DFT, PBE
State: relaxed

abc: 4.9875 4.9875 4.9875
angles: 60.00 60.00 60.00
Closest atoms and distances in Å follow each position.
Positions (direct):
Tc  0.2500  0.2500  0.2500  4 Dy 3.05, 4 Lu 3.05
Lu  0.5000  0.5000  0.5000  4 Tc 3.05, 4 Hg 3.05
Hg  0.7500  0.7500  0.7500  4 Lu 3.05, 4 Dy 3.05
Dy  0.0000  0.0000  0.0000  4 Hg 3.05, 4 Tc 3.05

Results
VASP energy ... -5.13 eV per atom
Space-group type ... F-43m

2.
Material: DyLuTlHg
Method: DFT, PBE
State: relaxed

abc: 5.2738 5.2738 5.2738
angles: 60.00 60.00 60.00
Closest atoms and distances in Å follow each position.
Positions (direct):
Tl  0.0000  0.0000  0.0000  4 Dy 3.23, 4 Lu 3.23
Lu  0.7500  0.7500  0.7500  4 Hg 3.23, 4 Tl 3.23
Hg  0.5000  0.5000  0.5000  4 Lu 3.23, 4 Dy 3.23
Dy  0.2500  0.2500  0.2500  4 Hg 3.23, 4 Tl 3.23

Results
VASP energy ... -3.33 eV per atom
Space-group type ... F-43m

3.
Material: DyTmLuHg
Method: DFT, PBE
State: relaxed

abc: 5.3472 5.3472 5.3472
angles: 60.00 60.00 60.00
Closest atoms and distances in Å follow each position.
Positions (direct):
Lu  0.7500  0.7500  0.7500  4 Dy 3.27, 4 Tm 3.27
Tm  0.5000  0.5000  0.5000  4 Hg 3.27, 4 Lu 3.27
Hg  0.2500  0.2500  0.2500  4 Dy 3.27, 4 Tm 3.27
Dy  0.0000  0.0000  0.0000  4 Lu 3.27, 4 Hg 3.27

Results
VASP energy ... -3.53 eV per atom
Space-group type ... F-43m

ΔE_f for the records above, in order: -0.18, -0.38, -0.05 eV per atom